{
  "formula": "SrCeGd",
  "functional": "PBE",
  "state": "optimized geometry",
  "lattice_angstrom": [[-2.6688, -2.0392, -1.4850], [2.4901, -2.4756, -1.0755], [-0.8255, -1.7942, 8.4880]],
  "species": ["Sr", "Gd", "Ce"],
  "fractional_positions": [[0.0011, 0.0011, 0.0022], [0.3190, 0.3190, 0.6381], [0.6799, 0.6799, 0.3597]],
  "sg": "I4mm",
  "ef_ev_per_atom": 0.22
}



{
  "formula": "Sr4SbAsCl2",
  "functional": "PBE",
  "state": "optimized geometry",
  "lattice_angstrom": [[-3.5343, -2.9690, 0.4780], [4.7671, -5.9018, -1.4105], [3.2400, -2.7487, 6.8837]],
  "species": ["Sr", "Sr", "Sr", "Sr", "Sb", "As", "Cl", "Cl"],
  "fractional_positions": [[0.0000, 0.7298, 0.7448], [0.0000, 0.2702, 0.2552], [0.5000, 0.7264, 0.2660], [0.5000, 0.2736, 0.7340], [0.5000, 0.5000, 0.0000], [0.0000, 0.5000, 0.5000], [0.0000, 0.0000, 0.0000], [0.5000, 0.0000, 0.5000]],
  "sg": "P2/m",
  "raw_formation_energy_ev_per_atom": -1.600
}



{
  "formula": "RbCd10Ag2",
  "functional": "PBE",
  "state": "optimized geometry",
  "lattice_angstrom": [[7.9026, -0.0184, 0.0000], [-1.1883, 7.8127, 0.0000], [0.0000, 0.0000, 10.0082]],
  "species": ["Rb", "Rb", "Cd", "Cd", "Cd", "Cd", "Cd", "Cd", "Cd", "Cd", "Cd", "Cd", "Cd", "Cd", "Cd", "Cd", "Cd", "Cd", "Cd", "Cd", "Cd", "Cd", "Ag", "Ag", "Ag", "Ag"],
  "fractional_positions": [[0.8780, 0.1220, 0.7500], [0.1220, 0.8780, 0.2500], [0.4047, 0.1497, 0.7500], [0.5953, 0.8503, 0.2500], [0.8503, 0.5953, 0.7500], [0.1497, 0.4047, 0.2500], [0.5238, 0.7709, 0.7500], [0.4762, 0.2291, 0.2500], [0.2291, 0.4762, 0.7500], [0.7709, 0.5238, 0.2500], [0.8420, 0.1580, 0.3987], [0.1580, 0.8420, 0.8987], [0.8420, 0.1580, 0.1013], [0.1580, 0.8420, 0.6013], [0.6192, 0.3808, 0.9594], [0.3808, 0.6192, 0.4594], [0.6192, 0.3808, 0.5406], [0.3808, 0.6192, 0.0406], [0.7770, 0.7770, 0.0000], [0.2230, 0.2230, 0.5000], [0.2230, 0.2230, 0.0000], [0.7770, 0.7770, 0.5000], [0.5000, 0.0000, 0.0000], [0.5000, 0.0000, 0.5000], [0.0000, 0.5000, 0.5000], [0.0000, 0.5000, 0.0000]],
  "sg": "Cmcm",
  "ef_ev_per_atom": -0.03
}



{
  "formula": "Ba5Ge2Sb",
  "functional": "PBE",
  "state": "optimized geometry",
  "lattice_angstrom": [[8.0138, 0.0000, -3.7830], [-1.7858, 7.8123, -3.7830], [-0.0480, -0.0602, 10.2781]],
  "species": ["Ba", "Ba", "Ba", "Ba", "Ba", "Ba", "Ba", "Ba", "Ba", "Ba", "Ge", "Ge", "Ge", "Ge", "Sb", "Sb"],
  "fractional_positions": [[0.5325, 0.6855, 0.7180], [0.8145, 0.9675, 0.2820], [0.0000, 0.0000, 0.0000], [0.5000, 0.5000, 0.0000], [0.1855, 0.0325, 0.7180], [0.6855, 0.1855, 0.7180], [0.0325, 0.5325, 0.7180], [0.3145, 0.8145, 0.2820], [0.9675, 0.4675, 0.2820], [0.4675, 0.3145, 0.2820], [0.1095, 0.3905, 0.0000], [0.6095, 0.1095, 0.0000], [0.3905, 0.8905, 0.0000], [0.8905, 0.6095, 0.0000], [0.7500, 0.7500, 0.5000], [0.2500, 0.2500, 0.5000]],
  "sg": "I4/mcm",
  "raw_formation_energy_ev_per_atom": -0.681
}



{
  "formula": "BaTeBr2",
  "functional": "PBE",
  "state": "optimized geometry",
  "lattice_angstrom": [[-1.1839, -2.2842, 4.0602], [4.7031, -3.7295, -0.7267], [4.4548, 2.9513, 2.9593]],
  "species": ["Te", "Ba", "Br", "Br"],
  "fractional_positions": [[0.5000, 0.2500, 0.2500], [0.5000, 0.7500, 0.7500], [0.0000, 0.9742, 0.9752], [0.0000, 0.5258, 0.5248]],
  "sg": "P2/m",
  "raw_formation_energy_ev_per_atom": -1.038
}



{
  "formula": "RbIn2Pd",
  "functional": "PBE",
  "state": "optimized geometry",
  "lattice_angstrom": [[-1.1518, 3.6187, 2.8743], [-1.2564, -0.8514, 4.5144], [5.5668, 1.4610, 4.3372]],
  "species": ["Rb", "In", "In", "Pd"],
  "fractional_positions": [[0.4960, 0.4960, 0.5120], [0.0272, 0.0272, 0.9184], [0.3015, 0.3015, 0.0956], [0.6753, 0.6753, 0.9740]],
  "sg": "R3m",
  "ef_ev_per_atom": -0.25
}



{
  "formula": "YSbW2C",
  "functional": "PBE",
  "state": "optimized geometry",
  "lattice_angstrom": [[-2.7397, -1.6709, 4.0025], [1.7015, -3.7577, -0.4041], [3.7916, 1.3760, 3.1698]],
  "species": ["Y", "Sb", "C", "W", "W"],
  "fractional_positions": [[0.0000, 0.0000, 0.0000], [0.5000, 0.5000, 0.5000], [0.0000, 0.5000, 0.0000], [0.0000, 0.0000, 0.5000], [0.5000, 0.0000, 0.0000]],
  "sg": "P4/mmm",
  "raw_formation_energy_ev_per_atom": 2.853
}



{
  "formula": "Ti2BN",
  "functional": "PBE",
  "state": "optimized geometry",
  "lattice_angstrom": [[4.7911, 0.0000, 0.0000], [0.0000, 4.7911, 0.0000], [2.3956, 2.3956, 4.7301]],
  "species": ["B", "B", "N", "N", "Ti", "Ti", "Ti", "Ti"],
  "fractional_positions": [[0.5000, 0.5000, 0.0000], [0.2500, 0.7500, 0.5000], [0.0000, 0.0000, 0.0000], [0.7500, 0.2500, 0.5000], [0.6537, 0.1250, 0.2500], [0.0963, 0.6250, 0.2500], [0.3750, 0.3463, 0.7500], [0.8750, 0.9037, 0.7500]],
  "sg": "I-42d",
  "raw_formation_energy_ev_per_atom": -0.503
}